Entry 1:
This record from Alexandria describes a crystal of Co2NiRh relaxed with PBEsol. The functional is meta-GGA SCAN.

For the energy relative to the elements, the calculation gives 0.085 eV per atom. The space group is R-3m (166).

Geometry as POSCAR:
```
Co2NiRh
1.0
-2.4747 0.1609 -0.5744
-1.2823 -2.0847 -0.6998
-3.1556 -2.0873 7.3701
Rh Co Ni
1 2 1
direct
0.0000 0.0000 0.0000
0.7531 0.7531 0.7407
0.2469 0.2469 0.2593
0.5000 0.5000 0.5000
```

***

Entry 2:
This record from Alexandria describes a crystal of CoNiRh relaxed with PBEsol. The functional is meta-GGA SCAN.

For the energy relative to the elements, the calculation gives 0.035 eV per atom. The space group is I4mm (107). The energy above the lowest structure with this stoichiometry comes out at 1 meV/atom.

Geometry as POSCAR:
```
CoNiRh
1.0
2.5694 0.0000 0.0000
0.0000 2.5694 0.0000
-1.2847 -1.2847 5.2833
Co Rh Ni
1 1 1
direct
0.0046 0.0046 0.0091
0.3352 0.3352 0.6704
0.6602 0.6602 0.3204
```

***

Entry 3:
This record from Alexandria describes a crystal of CoNi2Ru relaxed with PBEsol. The functional is meta-GGA SCAN.

For the energy relative to the elements, the calculation gives 0.134 eV per atom. The space group is Pmmm (47). The energy above the lowest structure with this stoichiometry comes out at 0 meV/atom.

Geometry as POSCAR:
```
CoNi2Ru
1.0
2.4952 0.0000 0.0000
0.0000 3.5971 0.0000
0.0000 0.0000 4.9781
Co Ni Ru
1 2 1
direct
0.5000 0.5000 0.5000
0.0000 0.0000 0.2556
0.0000 0.0000 0.7444
0.5000 0.5000 0.0000
```

***

Entry 4:
This record from Alexandria describes a crystal of CoNi2Ru relaxed with PBEsol. The functional is meta-GGA SCAN.

For the energy relative to the elements, the calculation gives 0.146 eV per atom. The space group is I-4m2 (119). The energy above the lowest structure with this stoichiometry comes out at 12 meV/atom.

Geometry as POSCAR:
```
CoNi2Ru
1.0
3.5084 0.0000 0.0000
0.0000 3.5084 0.0000
-1.7542 -1.7542 3.5606
Ni Ru Co
2 1 1
direct
0.0000 0.0000 0.0000
0.7500 0.2500 0.5000
0.5000 0.5000 0.0000
0.2500 0.7500 0.5000
```

***

Entry 5:
This record from Alexandria describes a crystal of CoNiRu2 relaxed with PBEsol. The functional is meta-GGA SCAN.

For the energy relative to the elements, the calculation gives 0.224 eV per atom. The space group is R-3m (166).

Geometry as POSCAR:
```
CoNiRu2
1.0
-0.7408 1.1418 2.1980
-1.9266 -1.0110 1.3963
4.5618 -4.5273 5.4096
Ru Ni Co
2 1 1
direct
0.7510 0.7510 0.7468
0.2490 0.2490 0.2532
0.0000 0.0000 0.0000
0.5000 0.5000 0.5000
```

***

Entry 6:
This record from Alexandria describes a crystal of Co2NiRu relaxed with PBEsol. The functional is meta-GGA SCAN.

For the energy relative to the elements, the calculation gives 0.134 eV per atom. The space group is P4/mmm (123).

Geometry as POSCAR:
```
Co2NiRu
1.0
-3.2232 -0.3276 -1.3503
-0.6243 -2.7535 2.1584
-1.2608 2.2222 2.4702
Co Ru Ni
2 1 1
direct
0.0000 0.0000 0.5000
0.0000 0.5000 0.0000
0.5000 0.0000 0.0000
0.5000 0.5000 0.5000
```

***

Entry 7:
This record from Alexandria describes a crystal of Co2NiRu relaxed with PBEsol. The functional is meta-GGA SCAN.

For the energy relative to the elements, the calculation gives 0.145 eV per atom. The space group is P4mm (99).

Geometry as POSCAR:
```
Co2NiRu
1.0
-0.0707 -1.1901 2.2218
2.4636 0.4368 0.3124
-1.4813 6.0648 3.2014
Ru Ni Co
1 1 2
direct
0.5000 0.5000 0.7536
0.0000 0.0000 0.4888
0.5000 0.5000 0.2458
0.0000 0.0000 0.0119
```

***

Entry 8:
This record from Alexandria describes a crystal of Co2NiRu relaxed with PBEsol. The functional is meta-GGA SCAN.

For the energy relative to the elements, the calculation gives 0.193 eV per atom. The space group is Pmmm (47).

Geometry as POSCAR:
```
Co2NiRu
1.0
-0.5832 -2.3667 -0.6652
3.2814 -0.4943 -1.1183
1.3039 -1.5947 4.5308
Co Ni Ru
2 1 1
direct
0.0000 0.0000 0.7548
0.0000 0.0000 0.2452
0.5000 0.5000 0.0000
0.5000 0.5000 0.5000
```

***

Entry 9:
This record from Alexandria describes a crystal of CoNiRu2 relaxed with PBEsol. The functional is meta-GGA SCAN.

For the energy relative to the elements, the calculation gives 0.393 eV per atom. The space group is Immm (71).

Geometry as POSCAR:
```
CoNiRu2
1.0
2.6722 0.0000 0.0000
0.0000 4.1869 0.0000
-1.3361 -2.0934 4.4528
Ni Co Ru
1 1 2
direct
0.0000 0.5000 0.0000
0.5000 0.0000 0.0000
0.7230 0.7230 0.4461
0.2770 0.2770 0.5539
```

***

Entry 10:
This record from Alexandria describes a crystal of Co2NiRu relaxed with PBEsol. The functional is meta-GGA SCAN.

For the energy relative to the elements, the calculation gives 0.165 eV per atom. The space group is Cmmm (65).

Geometry as POSCAR:
```
Co2NiRu
1.0
2.5007 0.0000 0.0000
0.0000 4.3578 -0.0052
0.0000 -1.4762 4.1002
Co Ni Ru
2 1 1
direct
0.0000 0.5000 0.0000
0.0000 0.0000 0.5000
0.5000 0.0000 0.0000
0.5000 0.5000 0.5000
```

***

Entry 11:
This record from Alexandria describes a crystal of ScCo2NiRu relaxed with PBEsol. The functional is meta-GGA SCAN.

For the energy relative to the elements, the calculation gives 0.836 eV per atom. The space group is P4/mmm (123).

Geometry as POSCAR:
```
ScCo2NiRu
1.0
4.1583 0.0000 0.0000
0.0000 4.1583 0.0000
0.0000 0.0000 4.4419
Ru Co Sc Ni
1 2 1 1
direct
0.5000 0.5000 0.5000
0.0000 0.5000 0.0000
0.5000 0.0000 0.0000
0.0000 0.0000 0.5000
0.0000 0.0000 0.0000
```

***

Entry 12:
This record from Alexandria describes a crystal of CoNiS4 relaxed with PBEsol. The functional is meta-GGA SCAN.

The space group is P2_1/c (14). The calculation puts the uncorrected formation energy at -0.410 eV per atom.

Geometry as POSCAR:
```
CoNiS4
1.0
5.4451 0.0000 0.0041
0.0000 5.4498 0.0000
-0.0301 0.0000 5.4596
S Co Ni
8 2 2
direct
0.8908 0.3905 0.1167
0.1092 0.6095 0.8833
0.1180 0.1175 0.6089
0.6092 0.8905 0.8833
0.8820 0.8825 0.3911
0.6180 0.3825 0.6089
0.3820 0.6175 0.3911
0.3908 0.1095 0.1167
0.0000 0.5000 0.5000
0.5000 0.0000 0.5000
0.5000 0.5000 0.0000
0.0000 0.0000 0.0000
```

***

Entry 13:
This record from Alexandria describes a crystal of CoNi5S8 relaxed with PBEsol. The functional is meta-GGA SCAN.

The space group is F-43m (216). The calculation puts the uncorrected formation energy at -0.461 eV per atom.

Geometry as POSCAR:
```
CoNi5S8
1.0
6.5531 0.0000 0.0000
3.2765 5.6751 0.0000
3.2765 1.8917 5.3506
S Ni Co
8 5 1
direct
0.1332 0.1332 0.6004
0.1332 0.6004 0.1332
0.6184 0.6184 0.1447
0.1332 0.1332 0.1332
0.6184 0.6184 0.6184
0.6184 0.1447 0.6184
0.6004 0.1332 0.1332
0.1447 0.6184 0.6184
0.3753 0.3753 0.3753
0.0000 0.0000 0.0000
0.8742 0.3753 0.3753
0.3753 0.8742 0.3753
0.3753 0.3753 0.8742
0.7500 0.7500 0.7500
```

***

Entry 14:
This record from Alexandria describes a crystal of CoNiSb2S2 relaxed with PBEsol. The functional is meta-GGA SCAN.

The space group is P2_1 (4). The calculation puts the uncorrected formation energy at -0.326 eV per atom.

Geometry as POSCAR:
```
CoNiSb2S2
1.0
5.8025 -0.0031 0.0000
-0.0188 5.8048 0.0000
0.0000 0.0000 5.8072
Sb Ni S Co
4 2 4 2
direct
0.1341 0.8799 0.6290
0.6272 0.6178 0.8666
0.8659 0.1201 0.1290
0.3728 0.3822 0.3666
0.9769 0.2715 0.5209
0.0231 0.7285 0.0209
0.6166 0.1241 0.6245
0.8712 0.6312 0.3799
0.3834 0.8759 0.1245
0.1288 0.3688 0.8799
0.5189 0.7713 0.4791
0.4811 0.2287 0.9791
```

***

Entry 15:
This record from Alexandria describes a crystal of Co2NiSeS relaxed with PBEsol. The functional is meta-GGA SCAN.

The space group is P4/mmm (123). The calculation puts the uncorrected formation energy at 0.304 eV per atom.

Geometry as POSCAR:
```
Co2NiSeS
1.0
-0.9360 3.6150 -1.6914
-3.9378 -1.1197 -0.2139
-0.6555 1.5878 3.7564
Co Se Ni S
2 1 1 1
direct
0.0000 0.5000 0.0000
0.5000 0.0000 0.0000
0.5000 0.5000 0.5000
0.0000 0.0000 0.5000
0.0000 0.0000 0.0000
```

***

Entry 16:
This record from Alexandria describes a crystal of CoNiSb6 relaxed with PBEsol. The functional is meta-GGA SCAN.

The space group is C2/m (12). The calculation puts the uncorrected formation energy at -0.156 eV per atom.

Geometry as POSCAR:
```
CoNiSb6
1.0
-2.6244 -7.1222 1.8822
3.8609 -0.3710 -6.7906
4.8354 2.5721 5.6209
Sb Co Ni
12 2 2
direct
0.6625 0.1602 0.8227
0.6688 0.8406 0.5095
0.3312 0.1594 0.4905
0.8426 0.1745 0.3368
0.8256 0.6687 0.1628
0.5060 0.6629 0.8372
0.1623 0.4942 0.3368
0.4940 0.3371 0.1628
0.1574 0.8255 0.6632
0.8377 0.5058 0.6632
0.3375 0.8398 0.1773
0.1744 0.3313 0.8372
0.5000 0.5000 0.5000
0.0000 0.0000 0.5000
0.5000 0.0000 0.0000
0.0000 0.5000 0.0000
```

***

Entry 17:
This record from Alexandria describes a crystal of ScCoNi2 relaxed with PBEsol. The functional is meta-GGA SCAN.

For the energy relative to the elements, the calculation gives -0.130 eV per atom. The space group is F-43m (216).

Geometry as POSCAR:
```
ScCoNi2
1.0
4.1138 0.0000 0.0000
2.0569 3.5627 0.0000
2.0569 1.1876 3.3589
Sc Ni Co
1 2 1
direct
0.7500 0.7500 0.7500
0.2500 0.2500 0.2500
0.0000 0.0000 0.0000
0.5000 0.5000 0.5000
```

***

Entry 18:
This record from Alexandria describes a crystal of ScCoNi2 relaxed with PBEsol. The functional is meta-GGA SCAN.

For the energy relative to the elements, the calculation gives 0.296 eV per atom. The space group is R-3m (166).

Geometry as POSCAR:
```
ScCoNi2
1.0
-1.8009 -0.7877 1.7759
0.7148 -1.5879 1.9962
1.3326 5.8157 5.9067
Co Sc Ni
1 1 2
direct
0.5000 0.5000 0.5000
0.0000 0.0000 0.0000
0.2441 0.2441 0.2678
0.7559 0.7559 0.7322
```

***

Entry 19:
This record from Alexandria describes a crystal of ScCoNi relaxed with PBEsol. The functional is meta-GGA SCAN.

For the energy relative to the elements, the calculation gives -0.147 eV per atom. The space group is P-6m2 (187).

Geometry as POSCAR:
```
ScCoNi
1.0
3.3574 0.0000 0.0000
0.0000 3.8224 0.0000
0.0000 -1.9112 3.3103
Ni Co Sc
1 1 1
direct
0.0000 0.6667 0.3333
0.0000 0.0000 0.0000
0.5000 0.3333 0.6667
```

***

Entry 20:
This record from Alexandria describes a crystal of ScCo2Ni relaxed with PBEsol. The functional is meta-GGA SCAN.

For the energy relative to the elements, the calculation gives -0.089 eV per atom. The space group is P4mm (99).

Geometry as POSCAR:
```
ScCo2Ni
1.0
3.0327 0.0638 0.0000
-0.0634 3.0327 0.0000
0.0000 0.0000 5.5088
Co Ni Sc
2 1 1
direct
0.5000 0.5000 0.2398
0.0000 0.0000 0.0421
0.0000 0.0000 0.4742
0.5000 0.5000 0.7440
```

***

Number 1: E -84.21 eV/f.u., Fermi-level density of states 4.241 states/eV per cell. Number 2: E -67.14 eV/f.u., Fermi-level density of states 2.067 states/eV per cell. Number 3: E -83.94 eV/f.u., Fermi-level density of states 3.363 states/eV per cell. Number 4: E -83.89 eV/f.u., Fermi-level density of states 4.832 states/eV per cell. Number 5: E -102.23 eV/f.u., Fermi-level density of states 3.702 states/eV per cell. Number 6: E -85.07 eV/f.u., Fermi-level density of states 3.653 states/eV per cell. Number 7: E -85.03 eV/f.u., Fermi-level density of states 3.109 states/eV per cell. Number 8: E -84.83 eV/f.u., Fermi-level density of states 4.229 states/eV per cell. Number 9: E -101.56 eV/f.u., Fermi-level density of states 4.305 states/eV per cell. Number 10: E -84.95 eV/f.u., Fermi-level density of states 3.633 states/eV per cell. Number 11: E -95.66 eV/f.u., Fermi-level density of states 3.877 states/eV per cell. Number 12: E -74.45 eV/f.u., Fermi-level density of states 4.384 states/eV per cell. Number 13: E -181.65 eV/f.u., Fermi-level density of states 4.601 states/eV per cell. Number 14: E -129.21 eV/f.u., Fermi-level density of states 7.105 states/eV per cell. Number 15: E -78.97 eV/f.u., Fermi-level density of states 2.856 states/eV per cell. Number 16: E -258.29 eV/f.u., Fermi-level density of states 6.349 states/eV per cell. Number 17: E -64.41 eV/f.u., Fermi-level density of states 4.498 states/eV per cell. Number 18: E -62.71 eV/f.u., Fermi-level density of states 5.222 states/eV per cell. Number 19: E -48.16 eV/f.u., Fermi-level density of states 0.667 states/eV per cell. Number 20: E -65.37 eV/f.u., Fermi-level density of states 4.470 states/eV per cell.